Below is a relaxed structure of Zn3SN, with properties calculated at the PBE-GGA level.

```
Zn3SN
1.0
4.566 0.000 0.000
0.000 4.566 0.000
0.000 0.000 4.566
Zn S N
3 1 1
direct
0.000 0.500 0.000
0.000 0.000 0.500
0.500 0.000 0.000
0.000 0.000 0.000
0.500 0.500 0.500
```

Calculated values
formation energy from raw total energies	1.27	eV/atom
space group	Pm-3m (221)